DFT (GGA-PBE) results for a relaxed structure of KLi3Bi.

a b c (Å): 5.225 5.225 5.225
angles (deg): 90.00 90.00 90.00
Space group Pm-3m (No. 221)
Unique sites:
K  0.000  0.000  0.000 x1
Li  0.000  0.000  0.500 x3
Bi  0.500  0.500  0.500 x1

## Properties
The value obtained for the formation energy is 0.4707 eV/atom. For the uncorrected energy, the calculation gives -1.673 eV per atom. As for the energy above the most stable polymorph in this dataset: 718 meV per atom. The calculation puts the total magnetization at 0.00 μB per cell.